[1]
This record from Alexandria via LeMat-Bulk describes a relaxed Y2POs crystal. The functional is GGA-PBEsol.

The space group is F-43m (No. 216) and the conventional cell measures 6.612, 6.612 and 6.612 Å, with angles of 90.00, 90.00 and 90.00 degrees. The inequivalent atoms are Y at (0.000, 0.000, 0.000), Y at (0.250, 0.250, 0.250), P at (0.000, 0.000, 0.500) and Os at (0.250, 0.250, 0.750).

Its magnetization is 0.0 Bohr magnetons per cell. As for the formation energy: -0.5 eV per formula unit.

[2]
This record from Alexandria via LeMat-Bulk describes a relaxed YP2Os crystal. The functional is GGA-PBEsol.

The space group is P2/m (No. 10) and the conventional cell measures 3.904, 3.925 and 4.687 Å, with angles of 90.00, 92.19 and 90.00 degrees. The inequivalent atoms are Y at (0.000, 0.000, 0.000), P at (0.459, 0.500, 0.768) and Os at (0.500, 0.000, 0.500).

Its magnetization is 0.0 Bohr magnetons per cell. As for the formation energy: -2.8 eV per formula unit.

[3]
This record from Alexandria via LeMat-Bulk describes a relaxed YP3Os crystal. The functional is GGA-PBEsol.

The space group is Pm-3m (No. 221) and the conventional cell measures 5.006, 5.006 and 5.006 Å, with angles of 90.00, 90.00 and 90.00 degrees. The inequivalent atoms are Y at (0.000, 0.000, 0.000), P at (0.000, 0.000, 0.500) and Os at (0.500, 0.500, 0.500).

Its magnetization is 2.9 Bohr magnetons per cell. As for the formation energy: 9.7 eV per formula unit.

[4]
This record from Alexandria via LeMat-Bulk describes a relaxed Zn2POs crystal. The functional is GGA-PBEsol.

The space group is I-4m2 (No. 119) and the conventional cell measures 3.814, 3.814 and 7.338 Å, with angles of 90.00, 90.00 and 90.00 degrees. The inequivalent atoms are Zn at (0.000, 0.000, 0.000), Zn at (0.000, 0.500, 0.250), P at (0.000, 0.500, 0.750) and Os at (0.000, 0.000, 0.500).

Its magnetization is 0.0 Bohr magnetons per cell. As for the formation energy: 0.9 eV per formula unit.

[5]
This record from Alexandria via LeMat-Bulk describes a relaxed Zn2POs crystal. The functional is GGA-PBEsol.

The space group is Cmmm (No. 65) and the conventional cell measures 2.704, 4.619 and 9.185 Å, with angles of 90.00, 90.00 and 90.00 degrees. The inequivalent atoms are Zn at (0.000, 0.000, 0.243), P at (0.000, 0.500, 0.500) and Os at (0.000, 0.500, 0.000).

Its magnetization is 0.0 Bohr magnetons per cell. As for the formation energy: 1.5 eV per formula unit.

[6]
This record from Alexandria via LeMat-Bulk describes a relaxed ZnPOs2 crystal. The functional is GGA-PBEsol.

The space group is Immm (No. 71) and the conventional cell measures 2.809, 4.628 and 8.427 Å, with angles of 90.00, 90.00 and 90.00 degrees. The inequivalent atoms are Zn at (0.000, 0.000, 0.000), P at (0.000, 0.000, 0.500) and Os at (0.000, 0.500, 0.217).

Its magnetization is 0.0 Bohr magnetons per cell. As for the formation energy: 0.7 eV per formula unit.

[7]
This record from Alexandria via LeMat-Bulk describes a relaxed ZnPOs2 crystal. The functional is GGA-PBEsol.

The space group is Imm2 (No. 44) and the conventional cell measures 2.884, 3.866 and 9.795 Å, with angles of 90.00, 90.00 and 90.00 degrees. The inequivalent atoms are Zn at (0.000, 0.000, 0.000), P at (0.000, 0.500, 0.259), Os at (0.000, 0.000, 0.575) and Os at (0.000, 0.500, 0.814).

Its magnetization is 0.0 Bohr magnetons per cell. As for the formation energy: 0.7 eV per formula unit.

[8]
This record from Alexandria via LeMat-Bulk describes a relaxed ZnPOs2 crystal. The functional is GGA-PBEsol.

The space group is I-4m2 (No. 119) and the conventional cell measures 3.650, 3.650 and 7.985 Å, with angles of 90.00, 90.00 and 90.00 degrees. The inequivalent atoms are Zn at (0.000, 0.000, 0.000), P at (0.000, 0.500, 0.750), Os at (0.000, 0.000, 0.500) and Os at (0.000, 0.500, 0.250).

Its magnetization is 0.0 Bohr magnetons per cell. As for the formation energy: 1.8 eV per formula unit.

[9]
This record from Alexandria via LeMat-Bulk describes a relaxed Zn2POs crystal. The functional is GGA-PBEsol.

The space group is I4/mmm (No. 139) and the conventional cell measures 3.570, 3.570 and 8.273 Å, with angles of 90.00, 90.00 and 90.00 degrees. The inequivalent atoms are Zn at (0.000, 0.500, 0.250), P at (0.000, 0.000, 0.000) and Os at (0.000, 0.000, 0.500).

Its magnetization is 0.0 Bohr magnetons per cell. As for the formation energy: 0.7 eV per formula unit.

[10]
This record from Alexandria via LeMat-Bulk describes a relaxed ZnPOs2 crystal. The functional is GGA-PBEsol.

The space group is Pmmm (No. 47) and the conventional cell measures 2.869, 4.046 and 4.742 Å, with angles of 90.00, 90.00 and 90.00 degrees. The inequivalent atoms are Zn at (0.000, 0.000, 0.000), P at (0.500, 0.000, 0.500), Os at (0.000, 0.500, 0.500) and Os at (0.500, 0.500, 0.000).

Its magnetization is 0.0 Bohr magnetons per cell. As for the formation energy: 2.0 eV per formula unit.

[11]
This record from Alexandria via LeMat-Bulk describes a relaxed Zn2POs crystal. The functional is GGA-PBEsol.

The space group is Pmmm (No. 47) and the conventional cell measures 3.117, 3.950 and 4.334 Å, with angles of 90.00, 90.00 and 90.00 degrees. The inequivalent atoms are Zn at (0.000, 0.000, 0.000), Zn at (0.500, 0.500, 0.000), P at (0.000, 0.500, 0.500) and Os at (0.500, 0.000, 0.500).

Its magnetization is 0.0 Bohr magnetons per cell. As for the formation energy: 1.1 eV per formula unit.

[12]
This record from Alexandria via LeMat-Bulk describes a relaxed ZrPOs crystal. The functional is GGA-PBEsol.

The space group is P-62m (No. 189) and the conventional cell measures 6.3959, 6.3959 and 3.8254 Å, with angles of 90.00, 90.00 and 120.00 degrees. The inequivalent atoms are Zr at (0.0000, 0.4162, 0.0000), P at (0.0000, 0.0000, 0.0000), P at (0.3333, 0.6667, 0.5000) and Os at (0.0000, 0.7539, 0.5000).

Its magnetization is 0.0 Bohr magnetons per cell. As for the formation energy: -3.0 eV per formula unit.

Calculated total energy for the records above, in order: -8.026, -8.364, -5.342, -5.058, -4.923, -7.766, -7.782, -7.502, -5.122, -7.461, -5.020, -10.038 eV/atom
Volume for the records above, in order: 18.1, 17.9, 25.1, 13.3, 14.3, 13.7, 13.6, 13.3, 13.2, 13.8, 13.3, 15.1 Å³ per atom